A relaxed Tm3GeO6 crystal, computed with GGA-PBE.

Formation energy from raw total energies = -293 kJ per mole of atoms
Symmetry = Cmc2_1 (36)

Cell and atoms, written as POSCAR:
```
Tm3GeO6
1.0
5.440 0.000 0.000
0.000 7.012 0.017
0.000 -1.548 6.839
O Tm Ge
12 6 2
direct
0.728 0.976 0.024
0.647 0.227 0.773
0.667 0.896 0.411
0.167 0.104 0.589
0.700 0.645 0.677
0.228 0.024 0.976
0.700 0.323 0.355
0.167 0.411 0.896
0.200 0.355 0.323
0.147 0.773 0.227
0.200 0.677 0.645
0.667 0.589 0.104
0.478 0.911 0.701
0.924 0.600 0.400
0.424 0.400 0.600
0.978 0.089 0.299
0.978 0.701 0.911
0.478 0.299 0.089
0.495 0.825 0.175
0.995 0.175 0.825
```